Entry 1:
## Nd6As3Se2Br (PBE)

Data for a relaxed structure of Nd6As3Se2Br.

Computed properties:
Its space group is No. 12. As for the electronic total energy: -0.2169 hartree per atom. Its uncorrected formation energy is -1.63 eV/atom.

Cell and atoms, written as POSCAR:
```
Nd6As3Se2Br
1.0
4.251 0.000 0.000
0.000 8.590 0.255
-2.125 -2.527 9.007
Nd As Se Br
6 3 2 1
direct
0.324 0.919 0.647
0.665 0.590 0.331
0.676 0.081 0.353
0.998 0.273 0.996
0.002 0.727 0.004
0.335 0.410 0.669
0.500 0.500 0.000
0.836 0.166 0.673
0.164 0.834 0.327
0.835 0.670 0.669
0.165 0.330 0.331
0.500 0.000 0.000
```

Entry 2:
## Nd8As4Se3Br (PBE)

Data for a relaxed structure of Nd8As4Se3Br.

Computed properties:
Its space group is No. 166. As for the electronic total energy: -0.2191 hartree per atom. Its uncorrected formation energy is -1.66 eV/atom.

Cell and atoms, written as POSCAR:
```
Nd8As4Se3Br
1.0
8.513 0.000 0.000
0.000 8.566 0.041
-4.256 -4.259 6.017
Nd As Se Br
8 4 3 1
direct
0.261 0.768 0.007
0.261 0.768 0.522
0.246 0.239 0.492
0.747 0.768 0.007
0.253 0.232 0.993
0.754 0.761 0.508
0.739 0.232 0.478
0.739 0.232 0.993
0.500 0.000 0.000
0.500 0.000 0.500
0.000 0.000 0.000
0.000 0.000 0.500
0.500 0.500 0.000
0.500 0.500 0.500
0.000 0.500 0.500
0.000 0.500 0.000
```

Entry 3:
## Nd6SiAs2Br3 (PBE)

Data for a relaxed structure of Nd6SiAs2Br3.

Computed properties:
Its space group is No. 12. As for the electronic total energy: -0.1965 hartree per atom. Its uncorrected formation energy is -1.32 eV/atom.

Cell and atoms, written as POSCAR:
```
Nd6SiAs2Br3
1.0
-3.970 1.140 -1.063
-1.978 -8.435 -1.660
-0.095 0.793 9.759
Nd Si As Br
6 1 2 3
direct
0.345 0.899 0.690
0.675 0.558 0.351
0.655 0.101 0.310
0.008 0.224 0.016
0.992 0.776 0.984
0.325 0.442 0.649
0.500 0.000 0.000
0.833 0.669 0.666
0.167 0.331 0.334
0.500 0.500 0.000
0.834 0.169 0.667
0.166 0.831 0.333
```

Entry 4:
## Nd6Si2AsBr3 (PBE)

Data for a relaxed structure of Nd6Si2AsBr3.

Computed properties:
Its space group is No. 12. As for the electronic total energy: -0.1947 hartree per atom. Its uncorrected formation energy is -1.20 eV/atom.

Cell and atoms, written as POSCAR:
```
Nd6Si2AsBr3
1.0
4.274 0.000 0.000
0.000 8.819 0.117
-2.137 -2.749 9.162
Nd Si As Br
6 2 1 3
direct
0.339 0.889 0.678
0.675 0.562 0.351
0.661 0.111 0.322
0.012 0.232 0.024
0.988 0.768 0.976
0.325 0.438 0.649
0.833 0.666 0.666
0.167 0.334 0.334
0.500 0.000 0.000
0.500 0.500 0.000
0.834 0.167 0.668
0.166 0.833 0.332
```

The records above yield calculated volume values of 331.6; 440.3; 346.3; 346.7 Å³ per cell, respectively.